DFT (PBE with a Hubbard U) results for crystalline Ca6Co3RhO12 at its relaxed geometry.

POSCAR file:
```
Ca6Co3RhO12
1.0
6.359 0.016 0.016
-0.180 6.357 0.016
-0.180 -0.185 6.354
Rh O Ca Co
1 12 6 3
direct
0.000 0.000 0.000
0.789 0.465 0.589
0.411 0.211 0.535
0.211 0.535 0.411
0.698 0.900 0.028
0.028 0.698 0.900
0.900 0.028 0.698
0.465 0.589 0.789
0.302 0.100 0.972
0.100 0.972 0.302
0.589 0.789 0.465
0.972 0.302 0.100
0.535 0.411 0.211
0.747 0.118 0.383
0.882 0.617 0.253
0.253 0.882 0.617
0.118 0.383 0.747
0.617 0.253 0.882
0.383 0.747 0.118
0.257 0.257 0.257
0.743 0.743 0.743
0.500 0.500 0.500
```

SG	No. 148
E_tot	-137.5	eV per formula unit